1.
Entry from Alexandria via LeMat-Bulk: a relaxed CePu2Se3 crystal (PBE).

Structure (POSCAR):
```
CePu2Se3
1.0
-2.531 -2.810 -1.777
4.105 -1.112 -4.087
1.624 -2.512 6.572
Se Ce Pu
3 1 2
Cartesian
-0.488 -3.097 -1.775
-0.453 -2.661 2.397
3.687 -3.337 2.483
1.599 -3.217 0.354
1.586 -3.693 -3.786
1.613 -2.741 4.494
```

As for the total energy: -54.80 eV/cell. The calculation puts the magnetic moment at 12.6 μB/cell. Its density of states at the Fermi level is 3.75 states/eV per atom. Its mass density is 9.32 g/cm3. Its space-group type is Immm (71). The calculation puts the uncorrected formation energy at -9.75 eV/f.u.

2.
Entry from Alexandria via LeMat-Bulk: a relaxed HoPu4Sb5 crystal (PBE).

Structure (POSCAR):
```
HoPu4Sb5
1.0
4.309 0.000 0.984
1.821 7.145 1.955
0.012 -0.011 9.874
Ho Pu Sb
1 4 5
Cartesian
0.000 0.000 0.000
4.546 4.257 9.876
1.596 2.878 2.938
2.958 1.418 6.900
3.183 5.716 5.914
2.279 2.114 9.872
3.636 0.714 3.931
2.505 6.421 8.883
3.862 5.021 2.941
0.916 3.567 5.915
```

As for the total energy: -89.34 eV/cell. The calculation puts the magnetic moment at 0.0 μB/cell. Its density of states at the Fermi level is 5.50 states/eV per atom. Its mass density is 9.56 g/cm3. Its space-group type is C2/m (12). The calculation puts the uncorrected formation energy at -6.82 eV/f.u.

3.
Entry from Alexandria via LeMat-Bulk: a relaxed SrAcBiBr crystal (PBE).

Structure (POSCAR):
```
SrAcBiBr
1.0
-0.420 3.831 -3.497
2.013 -0.591 -4.762
-11.336 -4.201 -7.114
Bi Br Sr Ac
2 2 2 2
Cartesian
-2.010 1.636 -9.583
-7.733 -2.598 -5.790
-0.433 0.651 -3.107
-9.310 -1.613 -12.265
-0.828 1.319 -6.200
-8.915 -2.280 -9.172
-4.307 -1.073 -4.531
-5.435 0.112 -10.842
```

As for the total energy: -31.99 eV/cell. The calculation puts the magnetic moment at 0.0 μB/cell. Its density of states at the Fermi level is 0.48 states/eV per atom. Its mass density is 6.24 g/cm3. For the energy above the most stable polymorph in this dataset, the calculation gives 0 kJ/mol of formula units. Its space-group type is R-3m (166). The calculation puts the uncorrected formation energy at -4.65 eV/f.u.

4.
Entry from Alexandria via LeMat-Bulk: a relaxed Co2BiRh crystal (PBE).

Structure (POSCAR):
```
Co2BiRh
1.0
-2.828 2.207 -1.528
-2.270 -0.781 3.073
0.809 8.019 5.109
Bi Co Rh
2 4 2
Cartesian
-2.284 5.470 2.177
0.000 0.000 0.000
-3.657 7.330 4.917
-1.501 6.482 4.677
-1.815 1.984 2.875
-1.604 3.096 0.838
-2.005 3.976 4.477
-2.549 0.713 0.772
```

The formation enthalpy at 0 K comes out at 12.43 kcal/mol of atoms. As for the total energy: -46.58 eV/cell. The calculation puts the magnetic moment at 6.5 μB/cell. Its density of states at the Fermi level is 1.53 states/eV per atom. Its mass density is 10.27 g/cm3. Its space-group type is I-42d (122).

5.
Entry from Alexandria via LeMat-Bulk: a relaxed TmP2Se6 crystal (PBE).

Structure (POSCAR):
```
TmP2Se6
1.0
6.589 0.000 0.000
3.294 5.706 0.000
3.294 1.902 7.549
P Se Tm
2 6 1
Cartesian
6.589 3.804 1.151
9.883 5.706 6.405
7.720 2.035 1.825
4.491 3.708 1.825
7.555 5.668 1.825
8.767 3.927 5.732
5.393 5.629 5.732
5.606 1.856 5.732
6.589 3.804 7.545
```

As for the total energy: -40.55 eV/cell. The calculation puts the magnetic moment at 0.6 μB/cell. Its density of states at the Fermi level is 1.15 states/eV per atom. Its mass density is 4.12 g/cm3. Its space-group type is R3 (146). The calculation puts the uncorrected formation energy at -4.35 eV/f.u.

6.
Entry from Alexandria via LeMat-Bulk: a relaxed ScFeSi2 crystal (PBE).

Structure (POSCAR):
```
ScFeSi2
1.0
-3.442 -1.518 0.846
-0.726 -3.704 -0.788
0.157 -2.917 4.165
Si Fe Sc
2 1 1
Cartesian
-0.012 -2.788 3.711
-1.836 -4.199 2.566
-3.008 -6.105 3.167
-1.003 -2.035 1.056
```

As for the total energy: -28.06 eV/cell. The calculation puts the magnetic moment at 0.0 μB/cell. Its density of states at the Fermi level is 0.78 states/eV per atom. Its mass density is 4.43 g/cm3. Its space-group type is C2/m (12). The calculation puts the uncorrected formation energy at -2.42 eV/f.u.

7.
Entry from Alexandria via LeMat-Bulk: a relaxed La2MnCu3Ni12 crystal (PBE).

Structure (POSCAR):
```
La2MnCu3Ni12
1.0
-4.531 -6.648 4.409
-2.689 -8.719 -0.951
1.211 -8.335 3.637
Ni La Cu Mn
12 2 3 1
Cartesian
-1.711 -11.119 2.386
-2.428 -10.312 4.473
-4.299 -12.584 4.708
-2.062 -13.241 4.408
-3.582 -13.391 2.621
-6.330 -17.253 4.491
-2.952 -18.245 4.037
-3.058 -5.458 3.057
-4.035 -17.027 7.191
-3.947 -10.462 2.686
-1.974 -6.676 -0.097
0.320 -6.450 2.602
-3.946 -15.565 4.658
-2.063 -8.139 2.436
-1.345 -4.360 -0.476
-2.266 -3.324 2.204
0.605 -4.168 1.818
0.000 0.000 0.000
```

The formation enthalpy at 0 K comes out at 5.10 kcal/mol of atoms. As for the total energy: -96.71 eV/cell. The calculation puts the magnetic moment at 4.9 μB/cell. Its density of states at the Fermi level is 1.10 states/eV per atom. Its mass density is 7.62 g/cm3. Its space-group type is R-3m (166).

8.
Entry from Alexandria via LeMat-Bulk: a relaxed KBaLa2Ru crystal (PBE).

Structure (POSCAR):
```
KBaLa2Ru
1.0
-5.199 -1.603 -0.547
0.332 -2.696 4.746
-2.083 5.617 3.336
Ru La Ba K
1 2 1 1
Cartesian
0.000 0.000 0.000
-2.599 -0.802 -0.273
0.166 -1.348 2.373
-3.475 0.659 3.768
-1.041 2.809 1.668
```

The formation enthalpy at 0 K comes out at 2.81 kcal/mol of atoms. As for the total energy: -21.54 eV/cell. The calculation puts the magnetic moment at 0.0 μB/cell. Its density of states at the Fermi level is 0.80 states/eV per atom. Its mass density is 4.50 g/cm3. For the energy above the most stable polymorph in this dataset, the calculation gives 40 kJ/mol of formula units. Its space-group type is P4/mmm (123).

9.
Entry from Alexandria via LeMat-Bulk: a relaxed ErThSc4 crystal (PBE).

Structure (POSCAR):
```
ErThSc4
1.0
5.271 0.000 0.000
2.636 5.607 -0.694
2.636 -1.172 5.529
Sc Th Er
4 1 1
Cartesian
7.907 4.455 2.585
2.636 2.242 0.172
7.907 2.193 4.663
2.636 -0.021 2.250
0.000 0.000 0.000
5.271 2.217 2.418
```

The formation enthalpy at 0 K comes out at 0.61 kcal/mol of atoms. As for the total energy: -37.15 eV/cell. The calculation puts the magnetic moment at 0.0 μB/cell. Its density of states at the Fermi level is 1.45 states/eV per atom. Its mass density is 6.04 g/cm3. For the energy above the most stable polymorph in this dataset, the calculation gives 0 kJ/mol of formula units. Its space-group type is Immm (71).

10.
Entry from Alexandria via LeMat-Bulk: a relaxed NaNbV3 crystal (PBE).

Structure (POSCAR):
```
NaNbV3
1.0
-2.105 2.141 3.725
-3.860 -2.764 -0.593
1.887 -3.266 2.943
V Nb Na
3 1 1
Cartesian
0.944 -1.633 1.472
-1.930 -1.382 -0.296
-1.053 1.070 1.863
0.000 0.000 0.000
-2.039 -1.945 3.038
```

The formation enthalpy at 0 K comes out at 32.98 kcal/mol of atoms. As for the total energy: -31.59 eV/cell. The calculation puts the magnetic moment at 4.5 μB/cell. Its density of states at the Fermi level is 1.59 states/eV per atom. Its mass density is 4.07 g/cm3. For the energy above the most stable polymorph in this dataset, the calculation gives 0 kJ/mol of formula units. Its space-group type is Pm-3m (221).

11.
Entry from Alexandria via LeMat-Bulk: a relaxed KCa3Hf crystal (PBE).

Structure (POSCAR):
```
KCa3Hf
1.0
-3.507 3.971 2.017
-3.934 -1.558 -3.772
-2.088 -3.733 3.720
K Hf Ca
1 1 3
Cartesian
0.000 0.000 0.000
-4.765 -0.660 0.982
-1.967 -0.779 -1.886
-1.044 -1.867 1.860
-1.753 1.986 1.008
```

The formation enthalpy at 0 K comes out at 31.37 kcal/mol of atoms. As for the total energy: -10.25 eV/cell. The calculation puts the magnetic moment at 1.0 μB/cell. Its density of states at the Fermi level is 2.37 states/eV per atom. Its mass density is 3.08 g/cm3. For the energy above the most stable polymorph in this dataset, the calculation gives 286 kJ/mol of formula units. Its space-group type is Pm-3m (221).